Material: MnTe3Pd
Method: DFT, PBE
State: relaxed

abc: 3.972 5.526 6.342
angles: 67.04 90.00 90.00
Fractional coordinates of all 5 atoms:
Pd: 0.012 0.887 0.095
Mn: 0.512 0.299 0.805
Te: 0.012 0.436 0.500
Te: 0.512 0.096 0.253
Te: 0.512 0.782 0.857

- magnetization (Bohr magnetons per cell) = 3.23
- SG = Pm (6)
- excess energy over the best structure of this formula in the dataset (meV/atom) = 0
- calculated density (Mg/m³) = 7.05
- ΔE_f (raw) (eV per atom) = -0.19